# 1
# Tb8P4S3 (PBE-GGA, relaxed)
# formation energy without anion corrections	-1713	meV per atom
data_Tb8P4S3
_chemical_formula_sum 'Tb16 P8 S6'
_space_group_name_H-M_alt 'C 1 2/m 1'
_space_group_IT_number 12
_space_group_name_Hall '-C 2y'
_cell_length_a 11.205
_cell_length_b 11.227
_cell_length_c 7.925
_cell_angle_alpha 90.00
_cell_angle_beta 134.84
_cell_angle_gamma 90.00
loop_
_atom_site_label
_atom_site_type_symbol
_atom_site_fract_x
_atom_site_fract_y
_atom_site_fract_z
_atom_site_occupancy
Tb1 Tb 0.000 0.247 0.000 1
Tb2 Tb 0.000 0.253 0.500 1
Tb3 Tb 0.247 0.000 0.490 1
Tb4 Tb 0.250 0.000 0.003 1
P1 P 0.000 0.000 0.000 1
P2 P 0.000 0.500 0.500 1
P3 P 0.250 0.250 0.000 1
S1 S 0.000 0.000 0.500 1
S2 S 0.250 0.250 0.500 1



# 2
# Hf4Sb (PBE-GGA, relaxed)
# formation energy without anion corrections	895	meV per atom
# ΔE to the lowest computed polymorph	0.988	eV per atom
data_Hf4Sb
_chemical_formula_sum 'Hf4 Sb1'
_space_group_name_H-M_alt 'P m -3 m'
_space_group_IT_number 221
_space_group_name_Hall '-P 4 2 3'
_cell_length_a 5.186
_cell_length_b 5.186
_cell_length_c 5.186
_cell_angle_alpha 90.00
_cell_angle_beta 90.00
_cell_angle_gamma 90.00
loop_
_atom_site_label
_atom_site_type_symbol
_atom_site_fract_x
_atom_site_fract_y
_atom_site_fract_z
_atom_site_occupancy
Hf1 Hf 0.000 0.000 0.000 1
Hf2 Hf 0.000 0.500 0.500 1
Sb1 Sb 0.500 0.500 0.500 1



# 3
# Mg (PBE-GGA, relaxed)
# ΔE to the lowest computed polymorph	0.298	eV per atom
data_Mg
_chemical_formula_sum 'Mg4'
_space_group_name_H-M_alt 'P 4/m b m'
_space_group_IT_number 127
_space_group_name_Hall '-P 4 2ab'
_cell_length_a 5.888
_cell_length_b 5.888
_cell_length_c 3.081
_cell_angle_alpha 90.00
_cell_angle_beta 90.00
_cell_angle_gamma 90.00
loop_
_atom_site_label
_atom_site_type_symbol
_atom_site_fract_x
_atom_site_fract_y
_atom_site_fract_z
_atom_site_occupancy
Mg1 Mg 0.182 0.318 0.000 1



# 4
The following is a DFT calculation (PBE-GGA) of GdScIn4 after structural relaxation.

Cell and atoms, written as CIF:
```
data_GdScIn4
_chemical_formula_sum 'Gd4 Sc4 In16'
_space_group_name_H-M_alt 'F -4 3 m'
_space_group_IT_number 216
_space_group_name_Hall 'F -4 2 3'
_cell_length_a 8.404
_cell_length_b 8.404
_cell_length_c 8.404
_cell_angle_alpha 90.00
_cell_angle_beta 90.00
_cell_angle_gamma 90.00
loop_
_atom_site_label
_atom_site_type_symbol
_atom_site_fract_x
_atom_site_fract_y
_atom_site_fract_z
_atom_site_occupancy
Gd1 Gd 0.000 0.000 0.000 1
Sc1 Sc 0.250 0.250 0.750 1
In1 In 0.125 0.125 0.375 1
```



# 5
# Bi2TeRu (PBE-GGA, relaxed)
# formation energy without anion corrections	435	meV per atom
data_Bi2TeRu
_chemical_formula_sum 'Bi8 Te4 Ru4'
_space_group_name_H-M_alt 'I -4 2 d'
_space_group_IT_number 122
_space_group_name_Hall 'I -4 2bw'
_cell_length_a 6.721
_cell_length_b 6.721
_cell_length_c 12.633
_cell_angle_alpha 90.00
_cell_angle_beta 90.00
_cell_angle_gamma 90.00
loop_
_atom_site_label
_atom_site_type_symbol
_atom_site_fract_x
_atom_site_fract_y
_atom_site_fract_z
_atom_site_occupancy
Bi1 Bi 0.181 0.250 0.125 1
Te1 Te 0.000 0.000 0.500 1
Ru1 Ru 0.000 0.000 0.000 1



# 6
The following is a DFT calculation (PBE-GGA) of V2CrPb after structural relaxation.

Cell and atoms, written as CIF:
```
data_V2CrPb
_chemical_formula_sum 'V8 Cr4 Pb4'
_space_group_name_H-M_alt 'I -4 2 d'
_space_group_IT_number 122
_space_group_name_Hall 'I -4 2bw'
_cell_length_a 7.097
_cell_length_b 7.097
_cell_length_c 5.344
_cell_angle_alpha 90.00
_cell_angle_beta 90.00
_cell_angle_gamma 90.00
loop_
_atom_site_label
_atom_site_type_symbol
_atom_site_fract_x
_atom_site_fract_y
_atom_site_fract_z
_atom_site_occupancy
V1 V 0.186 0.750 0.125 1
Cr1 Cr 0.000 0.000 0.000 1
Pb1 Pb 0.000 0.000 0.500 1
```



| no. | VASP energy (eV per atom) | size of the total moment (μB per cell) |
| --- | --- | --- |
| 1 | -6.4506 | 0.000 |
| 2 | -7.8919 | 0.001 |
| 3 | -1.2967 | 0.000 |
| 4 | -5.4830 | 30.047 |
| 5 | -4.6094 | 0.000 |
| 6 | -7.1614 | 0.001 |